This record from Alexandria via LeMat-Bulk describes an optimized crystal structure of TiOsSCl2. The functional is PBE.

a b c (Å): 4.7426 4.7426 4.8231
angles (deg): 90.00 90.00 90.00
Space group P4/mmm (No. 123)
Unique sites:
Ti 0.0000 0.0000 0.0000
Os 0.5000 0.5000 0.5000
S 0.0000 0.0000 0.5000
Cl 0.0000 0.5000 0.0000

Computed properties:
E above lowest polymorph = 0.0 kJ/mol of formula units
total moment = 4.576 μB/cell
formation energy from raw total energies = 0.50 eV/atom

This record from Alexandria via LeMat-Bulk describes an optimized crystal structure of TiOsS2Cl. The functional is PBE.

a b c (Å): 4.6105 4.6105 4.7240
angles (deg): 90.00 90.00 90.00
Space group P4/mmm (No. 123)
Unique sites:
Ti 0.0000 0.0000 0.0000
Os 0.5000 0.5000 0.5000
S 0.0000 0.5000 0.5000
Cl 0.5000 0.5000 0.0000

Computed properties:
E above lowest polymorph = 0.0 kJ/mol of formula units
total moment = 0.075 μB/cell
formation energy from raw total energies = 0.52 eV/atom

This record from Alexandria via LeMat-Bulk describes an optimized crystal structure of TiOsSCl2. The functional is PBE.

a b c (Å): 4.8233 4.8233 4.5303
angles (deg): 90.00 90.00 90.00
Space group P4/mmm (No. 123)
Unique sites:
Ti 0.0000 0.0000 0.0000
Os 0.5000 0.5000 0.5000
S 0.5000 0.5000 0.0000
Cl 0.0000 0.5000 0.5000

Computed properties:
E above lowest polymorph = 38.7 kJ/mol of formula units
total moment = 0.157 μB/cell
formation energy from raw total energies = 0.58 eV/atom

This record from Alexandria via LeMat-Bulk describes an optimized crystal structure of TiOsS2Cl. The functional is PBE.

a b c (Å): 4.7300 4.7300 4.6293
angles (deg): 90.00 90.00 90.00
Space group P4/mmm (No. 123)
Unique sites:
Ti 0.0000 0.0000 0.0000
Os 0.5000 0.5000 0.5000
S 0.0000 0.5000 0.0000
Cl 0.0000 0.0000 0.5000

Computed properties:
E above lowest polymorph = 27.8 kJ/mol of formula units
total moment = 4.090 μB/cell
formation energy from raw total energies = 0.58 eV/atom

| no. | V (Å³/atom) | density (g/cm3) |
| --- | --- | --- |
| 1 | 21.7 | 5.22 |
| 2 | 20.1 | 5.58 |
| 3 | 21.1 | 5.37 |
| 4 | 20.7 | 5.41 |